{
  "formula": "CaThCd2Hg4",
  "functional": "PBE-GGA",
  "state": "relaxed",
  "lattice_angstrom": [[-3.8375, 1.8805, 2.8837], [-4.3561, -2.6977, 0.5707], [0.5619, -4.1307, 8.0497]],
  "species": ["Hg", "Hg", "Hg", "Hg", "Cd", "Cd", "Ca", "Th"],
  "fractional_positions": [[0.6268, 0.6268, 0.1196], [0.3732, 0.3732, 0.8804], [0.8787, 0.8787, 0.3639], [0.1213, 0.1213, 0.6361], [0.2490, 0.2490, 0.2530], [0.7510, 0.7510, 0.7470], [0.0000, 0.0000, 0.0000], [0.5000, 0.5000, 0.5000]]
}



{
  "formula": "Ca2TlCdHg",
  "functional": "PBE-GGA",
  "state": "relaxed",
  "de_polymorph_mev_per_atom": 343,
  "lattice_angstrom": [[-4.2633, -0.9969, -3.8925], [0.7209, -5.2056, 0.5436], [-3.9378, -0.0925, 4.3367]],
  "species": ["Ca", "Ca", "Cd", "Tl", "Hg"],
  "fractional_positions": [[0.5000, 0.0000, 0.0000], [0.0000, 0.0000, 0.5000], [0.0000, 0.5000, 0.0000], [0.5000, 0.5000, 0.5000], [0.0000, 0.0000, 0.0000]]
}



{
  "formula": "Ca4TlCd2Hg",
  "functional": "PBE-GGA",
  "state": "relaxed",
  "lattice_angstrom": [[5.4172, 0.0000, 0.0000], [2.7086, 4.6914, 0.0000], [2.7086, 1.5638, 8.8906]],
  "species": ["Tl", "Hg", "Cd", "Cd", "Ca", "Ca", "Ca", "Ca"],
  "fractional_positions": [[0.0000, 0.0000, 0.0000], [0.5000, 0.5000, 0.5000], [0.2508, 0.2508, 0.2475], [0.7492, 0.7492, 0.7525], [0.3764, 0.3764, 0.8707], [0.1262, 0.1262, 0.6214], [0.6236, 0.6236, 0.1293], [0.8738, 0.8738, 0.3786]]
}



{
  "formula": "Ca2TlCdHg5",
  "functional": "PBE-GGA",
  "state": "relaxed",
  "lattice_angstrom": [[-3.9620, 2.9200, -7.7673], [0.8217, -8.4268, -3.5872], [-4.0828, 1.2201, 7.9843]],
  "species": ["Cd", "Cd", "Hg", "Hg", "Hg", "Hg", "Hg", "Hg", "Hg", "Hg", "Hg", "Hg", "Ca", "Ca", "Ca", "Ca", "Tl", "Tl"],
  "fractional_positions": [[0.7500, 0.2500, 0.5000], [0.2500, 0.7500, 0.5000], [0.6695, 0.1695, 0.7159], [0.5000, 0.5000, 0.0000], [0.9536, 0.4536, 0.2841], [0.0464, 0.5464, 0.7159], [0.0000, 0.0000, 0.0000], [0.8305, 0.9536, 0.2841], [0.1695, 0.0464, 0.7159], [0.4536, 0.3305, 0.2841], [0.5464, 0.6695, 0.7159], [0.3305, 0.8305, 0.2841], [0.8726, 0.6274, 0.0000], [0.3726, 0.8726, 0.0000], [0.6274, 0.1274, 0.0000], [0.1274, 0.3726, 0.0000], [0.7500, 0.7500, 0.5000], [0.2500, 0.2500, 0.5000]]
}



| no. | D(E_F) (states/eV/f.u.) | formation energy (eV per atom) |
| --- | --- | --- |
| 1 | 3.56 | -0.311 |
| 2 | 4.50 | -0.048 |
| 3 | 5.35 | -0.435 |
| 4 | 6.29 | -0.167 |